## RbSc2TiTc (meta-GGA SCAN)

Data for a crystal of RbSc2TiTc relaxed with PBEsol.

Unit cell a=4.4188 b=5.4030 c=5.4030 alpha=90.00 beta=90.00 gamma=90.00
Site moments in Bohr magnetons follow the coordinates.
Element x y z (fractional)
Sc: 0.0000 0.0000 0.5000  0.06
Sc: 0.0000 0.5000 0.0000  0.06
Tc: 0.5000 0.0000 0.0000  0.85
Rb: 0.5000 0.5000 0.5000  0.00
Ti: 0.0000 0.0000 0.0000  0.07

ΔH_f (0 K), eV per atom: 0.91

## BaTe2Os (meta-GGA SCAN)

Data for a crystal of BaTe2Os relaxed with PBEsol.

Unit cell a=3.8001 b=3.8001 c=8.0496 alpha=90.00 beta=90.00 gamma=90.00
Element x y z (fractional)
Ba: 0.0000 0.0000 0.4810
Os: 0.5000 0.5000 0.9055
Te: 0.0000 0.0000 0.8878
Te: 0.5000 0.5000 0.2257

Relative energy among the computed polymorphs, eV per formula unit: 0.66
Energy relative to the elements, uncorrected, eV/atom: 0.053

## ReOs2Se (meta-GGA SCAN)

Data for a crystal of ReOs2Se relaxed with PBEsol.

Unit cell a=2.8292 b=4.5784 c=4.5784 alpha=90.00 beta=90.00 gamma=90.00
Site moments in Bohr magnetons follow the coordinates.
Element x y z (fractional)
Os: 0.0000 0.0000 0.5000  0.49
Os: 0.0000 0.5000 0.0000  0.49
Re: 0.5000 0.5000 0.5000  -0.07
Se: 0.5000 0.0000 0.0000  0.02

Energy relative to the elements, uncorrected, eV/atom: 0.914

## AsPbBr4 (meta-GGA SCAN)

Data for a crystal of AsPbBr4 relaxed with PBEsol.

Unit cell a=6.0628 b=6.0628 c=6.0628 alpha=60.00 beta=60.00 gamma=60.00
Site moments in Bohr magnetons follow the coordinates.
Element x y z (fractional)
Pb: 0.7500 0.7500 0.7500  -0.05
As: 0.0000 0.0000 0.0000  -1.02
Br: 0.3743 0.3743 0.3743  0.30
Br: 0.3743 0.3743 0.8771  0.30
Br: 0.8771 0.3743 0.3743  0.30
Br: 0.3743 0.8771 0.3743  0.30

Energy relative to the elements, uncorrected, eV/atom: 0.625

## SrSbF5 (meta-GGA SCAN)

Data for a crystal of SrSbF5 relaxed with PBEsol.

Unit cell a=4.3722 b=8.7482 c=11.1945 alpha=90.00 beta=90.00 gamma=90.00
Element x y z (fractional)
F: 0.0703 0.7169 0.2500
F: 0.9297 0.2831 0.7500
F: 0.9297 0.2169 0.2500
F: 0.0703 0.7831 0.7500
F: 0.4767 0.2050 0.1114
F: 0.5233 0.7950 0.6114
F: 0.5233 0.7050 0.3886
F: 0.4767 0.2950 0.8886
F: 0.5233 0.7950 0.8886
F: 0.4767 0.2050 0.3886
F: 0.4767 0.2950 0.6114
F: 0.5233 0.7050 0.1114
F: 0.0856 0.4884 0.1128
F: 0.9144 0.5116 0.6128
F: 0.9144 0.9884 0.3872
F: 0.0856 0.0116 0.8872
F: 0.9144 0.5116 0.8872
F: 0.0856 0.4884 0.3872
F: 0.0856 0.0116 0.6128
F: 0.9144 0.9884 0.1128
Sb: 0.3905 0.5551 0.2500
Sb: 0.6095 0.4449 0.7500
Sb: 0.6095 0.0551 0.2500
Sb: 0.3905 0.9449 0.7500
Sr: 0.0112 0.7500 0.0000
Sr: 0.9888 0.2500 0.5000
Sr: 0.9888 0.2500 0.0000
Sr: 0.0112 0.7500 0.5000

Energy relative to the elements, uncorrected, eV/atom: -3.213

## SnAuSCl2 (meta-GGA SCAN)

Data for a crystal of SnAuSCl2 relaxed with PBEsol.

Unit cell a=5.0195 b=5.0107 c=5.0107 alpha=90.00 beta=90.00 gamma=90.00
Element x y z (fractional)
S: 0.5000 0.0000 0.0000
Au: 0.5000 0.5000 0.5000
Sn: 0.0000 0.0000 0.0000
Cl: 0.0000 0.0000 0.5000
Cl: 0.0000 0.5000 0.0000

Energy relative to the elements, uncorrected, eV/atom: 0.109

## Sc2SiP (meta-GGA SCAN)

Data for a crystal of Sc2SiP relaxed with PBEsol.

Unit cell a=3.3363 b=3.3363 c=8.2400 alpha=78.32 beta=78.32 gamma=60.00
Site moments in Bohr magnetons follow the coordinates.
Element x y z (fractional)
P: 0.2380 0.2380 0.2859  0.01
Sc: 0.9868 0.9868 0.0396  0.38
Sc: 0.7576 0.7576 0.7273  0.39
Si: 0.5176 0.5176 0.4472  0.01

Relative energy among the computed polymorphs, eV per formula unit: 3.03
Energy relative to the elements, uncorrected, eV/atom: -0.231

## La2OsBr (meta-GGA SCAN)

Data for a crystal of La2OsBr relaxed with PBEsol.

Unit cell a=4.5523 b=5.2304 c=5.2304 alpha=68.15 beta=64.20 gamma=64.20
Element x y z (fractional)
Os: 0.0000 0.5000 0.5000
Br: 0.5000 0.0000 0.0000
La: 0.2693 0.7307 0.7307
La: 0.7307 0.2693 0.2693

Relative energy among the computed polymorphs, eV per formula unit: 1.59
Energy relative to the elements, uncorrected, eV/atom: -0.598

## LiCd2Ag (meta-GGA SCAN)

Data for a crystal of LiCd2Ag relaxed with PBEsol.

Unit cell a=2.9816 b=2.9816 c=9.6262 alpha=81.09 beta=81.09 gamma=60.00
Element x y z (fractional)
Cd: 0.2492 0.2492 0.2523
Cd: 0.7508 0.7508 0.7477
Ag: 0.0000 0.0000 0.0000
Li: 0.5000 0.5000 0.5000

Relative energy among the computed polymorphs, eV per formula unit: 0.35
ΔH_f (0 K), eV per atom: -0.13

## TaCr2Sb (meta-GGA SCAN)

Data for a crystal of TaCr2Sb relaxed with PBEsol.

Unit cell a=3.2429 b=4.2838 c=4.2838 alpha=90.00 beta=90.00 gamma=90.00
Site moments in Bohr magnetons follow the coordinates.
Element x y z (fractional)
Cr: 0.0000 0.0000 0.5000  1.29
Cr: 0.0000 0.5000 0.0000  1.29
Sb: 0.5000 0.5000 0.5000  -0.07
Ta: 0.5000 0.0000 0.0000  -0.43

Energy relative to the elements, uncorrected, eV/atom: 0.021

## RbVF3 (meta-GGA SCAN)

Data for a crystal of RbVF3 relaxed with PBEsol.

Unit cell a=4.1494 b=4.1494 c=4.1494 alpha=90.00 beta=90.00 gamma=90.00
Site moments in Bohr magnetons follow the coordinates.
Element x y z (fractional)
V: 0.5000 0.5000 0.5000  2.71
Rb: 0.0000 0.0000 0.0000  0.00
F: 0.0000 0.5000 0.5000  0.02
F: 0.5000 0.0000 0.5000  0.02
F: 0.5000 0.5000 0.0000  0.02

Energy relative to the elements, uncorrected, eV/atom: -3.080

## CuSb2F (meta-GGA SCAN)

Data for a crystal of CuSb2F relaxed with PBEsol.

Unit cell a=4.5524 b=4.5524 c=4.5524 alpha=60.00 beta=60.00 gamma=60.00
Element x y z (fractional)
Sb: 0.2500 0.2500 0.2500
Sb: 0.7500 0.7500 0.7500
Cu: 0.5000 0.5000 0.5000
F: 0.0000 0.0000 0.0000

Energy relative to the elements, uncorrected, eV/atom: -0.489

## NaLi2Ir (meta-GGA SCAN)

Data for a crystal of NaLi2Ir relaxed with PBEsol.

Unit cell a=4.4000 b=4.4000 c=4.4000 alpha=60.00 beta=60.00 gamma=60.00
Element x y z (fractional)
Na: 0.0000 0.0000 0.0000
Ir: 0.5000 0.5000 0.5000
Li: 0.2500 0.2500 0.2500
Li: 0.7500 0.7500 0.7500

ΔH_f (0 K), eV per atom: 0.21

## Sr2Li2Nb4O13 (meta-GGA SCAN)

Data for a crystal of Sr2Li2Nb4O13 relaxed with PBEsol.

Unit cell a=3.9674 b=3.9674 c=17.2694 alpha=96.60 beta=96.60 gamma=90.00
Element x y z (fractional)
Sr: 0.3829 0.3829 0.7658
Sr: 0.6171 0.6171 0.2342
Li: 0.7500 0.2500 0.5000
Li: 0.2500 0.7500 0.5000
Nb: 0.0566 0.0566 0.1132
Nb: 0.1790 0.1790 0.3580
Nb: 0.9434 0.9434 0.8868
Nb: 0.8210 0.8210 0.6420
O: 0.0000 0.0000 0.0000
O: 0.9368 0.4368 0.8737
O: 0.8269 0.3269 0.6538
O: 0.6731 0.1731 0.3462
O: 0.5632 0.0632 0.1263
O: 0.2345 0.2345 0.4690
O: 0.1173 0.1173 0.2347
O: 0.8827 0.8827 0.7653
O: 0.7655 0.7655 0.5310
O: 0.3269 0.8269 0.6538
O: 0.4368 0.9368 0.8737
O: 0.0632 0.5632 0.1263
O: 0.1731 0.6731 0.3462

Energy relative to the elements, uncorrected, eV/atom: -2.887

## TlTc2Rh (meta-GGA SCAN)

Data for a crystal of TlTc2Rh relaxed with PBEsol.

Unit cell a=2.8838 b=4.6576 c=4.6576 alpha=90.00 beta=90.00 gamma=90.00
Element x y z (fractional)
Rh: 0.5000 0.0000 0.0000
Tc: 0.0000 0.0000 0.5000
Tc: 0.0000 0.5000 0.0000
Tl: 0.5000 0.5000 0.5000

ΔH_f (0 K), eV per atom: 0.79

## LaNi2Os (meta-GGA SCAN)

Data for a crystal of LaNi2Os relaxed with PBEsol.

Unit cell a=3.9606 b=3.9606 c=4.8365 alpha=114.17 beta=114.17 gamma=90.00
Site moments in Bohr magnetons follow the coordinates.
Element x y z (fractional)
La: 0.2500 0.7500 0.5000  -0.02
Ni: 0.0000 0.0000 0.0000  0.20
Ni: 0.7500 0.2500 0.5000  0.69
Os: 0.5000 0.5000 0.0000  0.42

Relative energy among the computed polymorphs, eV per formula unit: 0.58
ΔH_f (0 K), eV per atom: 0.44

## BaH2Ru (meta-GGA SCAN)

Data for a crystal of BaH2Ru relaxed with PBEsol.

Unit cell a=4.6743 b=4.6743 c=6.2419 alpha=111.99 beta=111.99 gamma=90.00
Element x y z (fractional)
Ru: 0.7500 0.2500 0.5000
Ru: 0.5000 0.5000 0.0000
Ba: 0.2500 0.7500 0.5000
Ba: 0.0000 0.0000 0.0000
H: 0.6496 0.8750 0.2500
H: 0.6004 0.3750 0.2500
H: 0.1250 0.3996 0.7500
H: 0.6250 0.3504 0.7500

## RbH3O2 (meta-GGA SCAN)

Data for a crystal of RbH3O2 relaxed with PBEsol.

Unit cell a=4.1771 b=5.8272 c=5.9177 alpha=90.00 beta=110.67 gamma=90.00
Element x y z (fractional)
H: 0.6945 0.8006 0.7887
H: 0.3055 0.3006 0.2113
H: 0.9058 0.3006 0.2113
H: 0.0942 0.8006 0.7887
H: 0.5098 0.5135 0.0197
H: 0.4902 0.0135 0.9803
Rb: 0.1568 0.7739 0.3136
Rb: 0.8432 0.2739 0.6864
O: 0.8406 0.7669 0.6813
O: 0.1594 0.2669 0.3187
O: 0.4694 0.8487 0.9389
O: 0.5306 0.3487 0.0611

## AlTcMo2 (meta-GGA SCAN)

Data for a crystal of AlTcMo2 relaxed with PBEsol.

Unit cell a=2.6996 b=5.0853 c=5.0853 alpha=118.24 beta=98.85 gamma=98.85
Element x y z (fractional)
Mo: 0.0000 0.0000 0.5000
Mo: 0.0000 0.5000 0.0000
Tc: 0.5000 0.5000 0.5000
Al: 0.5000 0.0000 0.0000

ΔH_f (0 K), eV per atom: -0.11

## Na8NiO6 (meta-GGA SCAN)

Data for a crystal of Na8NiO6 relaxed with PBEsol.

Unit cell a=6.2725 b=6.2725 c=12.6203 alpha=90.00 beta=90.00 gamma=120.00
Site moments in Bohr magnetons follow the coordinates.
Element x y z (fractional)
Na: 0.2936 0.0000 0.7296  0.00
Na: 0.3866 0.0000 0.3773  0.00
Na: 0.6133 0.0000 0.8773  0.00
Na: 0.7064 0.0000 0.2296  0.00
Na: 0.3333 0.6667 0.0871  0.00
Na: 0.3333 0.6667 0.5871  0.00
Na: 0.7064 0.7064 0.7296  0.00
Na: 0.6133 0.6133 0.3773  0.00
Na: 0.3866 0.3866 0.8773  0.00
Na: 0.0000 0.7064 0.2296  0.00
Na: 0.2936 0.2936 0.2296  0.00
Na: 0.0000 0.6133 0.8773  0.00
Na: 0.6667 0.3333 0.5871  0.00
Na: 0.6667 0.3333 0.0871  0.00
Na: 0.0000 0.3866 0.3773  0.00
Na: 0.0000 0.2936 0.7296  0.00
Ni: 0.0000 0.0000 0.5039  2.02
Ni: 0.0000 0.0000 0.0039  2.02
O: 0.2759 0.0000 0.5482  0.38
O: 0.7241 0.0000 0.0482  0.38
O: 0.3333 0.6667 0.2783  0.11
O: 0.0000 0.0000 0.3547  0.32
O: 0.0000 0.0000 0.8547  0.32
O: 0.3333 0.6667 0.7783  0.11
O: 0.7241 0.7241 0.5482  0.38
O: 0.0000 0.7241 0.0482  0.38
O: 0.2759 0.2759 0.0482  0.38
O: 0.6667 0.3333 0.7783  0.11
O: 0.6667 0.3333 0.2783  0.11
O: 0.0000 0.2759 0.5482  0.38

Energy relative to the elements, uncorrected, eV/atom: -1.342

| no. | VASP energy (eV per cell) | total moment (μB per formula unit) | theoretical density (g/cm3) |
| --- | --- | --- | --- |
| 1 | -95.7 | 1.058 | 4.135 |
| 2 | -185.7 | 0.000 | 8.325 |
| 3 | -231.3 | 0.987 | 18.077 |
| 4 | -170.1 | 0.852 | 6.341 |
| 5 | -398.9 | 0.000 | 4.722 |
| 6 | -130.1 | 0.000 | 5.516 |
| 7 | -49.8 | 1.407 | 3.203 |
| 8 | -179.9 | 0.000 | 9.251 |
| 9 | -95.1 | 0.000 | 7.734 |
| 10 | -140.5 | 2.037 | 11.349 |
| 11 | -64.2 | 3.000 | 4.495 |
| 12 | -95.2 | 0.000 | 8.116 |
| 13 | -79.3 | 0.002 | 6.315 |
| 14 | -323.5 | 0.000 | 4.759 |
| 15 | -173.1 | 0.009 | 13.359 |
| 16 | -145.6 | 1.191 | 11.987 |
| 17 | -162.0 | 0.000 | 6.901 |
| 18 | -102.8 | 0.056 | 2.969 |
| 19 | -113.0 | 0.000 | 8.967 |
| 20 | -214.8 | 4.030 | 2.615 |